Entry 1:
BaZr2TcMo: relaxed, PBE-GGA.

abc: 5.191 4.924 5.191
angles: 90.00 90.00 90.00
Sites, in units of the cell vectors:
1 Zr 0.500 0.000 0.000
2 Mo 0.000 0.500 0.000
3 Zr 0.000 0.000 0.500
4 Tc 0.000 0.000 0.000
5 Ba 0.500 0.500 0.500

Summary:
Magnetic moment, μB per formula unit: 0.98
Energy relative to the elements, eV per atom: 0.6587



Entry 2:
BaTe2Mo: relaxed, PBE-GGA.

abc: 3.526 3.526 8.347
angles: 90.00 90.00 90.00
Sites, in units of the cell vectors:
1 Te 0.000 0.000 0.557
2 Mo 0.500 0.500 0.750
3 Te 0.000 0.000 0.943
4 Ba 0.500 0.500 0.250

Summary:
Magnetic moment, μB per formula unit: 0.00
ΔE to the lowest computed polymorph, meV/atom: 306



Entry 3:
BaTeMo2: relaxed, PBE-GGA.

abc: 10.042 10.042 10.042
angles: 18.78 18.78 18.78
Sites, in units of the cell vectors:
1 Te 0.250 0.250 0.250
2 Mo 0.984 0.984 0.984
3 Mo 0.516 0.516 0.516
4 Ba 0.750 0.750 0.750

Summary:
Magnetic moment, μB per formula unit: 0.00



Entry 4:
Ba2TeMo: relaxed, PBE-GGA.

abc: 3.723 3.723 9.953
angles: 90.00 90.00 90.02
Sites, in units of the cell vectors:
1 Mo 0.000 0.000 0.571
2 Ba 0.000 0.000 0.924
3 Te 0.500 0.500 0.678
4 Ba 0.500 0.500 0.327

Summary:
Magnetic moment, μB per formula unit: 0.61



Entry 5:
Ba2TeMo: relaxed, PBE-GGA.

abc: 7.391 7.391 7.391
angles: 149.34 136.49 54.16
Sites, in units of the cell vectors:
1 Mo 0.463 0.463 0.000
2 Te 0.314 0.814 0.500
3 Ba 0.004 0.004 0.000
4 Ba 0.719 0.219 0.500

Summary:
Magnetic moment, μB per formula unit: 2.00



Entry 6:
BaTe2Mo: relaxed, PBE-GGA.

abc: 4.394 4.394 7.475
angles: 90.04 90.04 59.93
Sites, in units of the cell vectors:
1 Mo 0.375 0.375 0.000
2 Te 0.708 0.708 0.818
3 Te 0.042 0.042 0.182
4 Ba 0.375 0.375 0.500

Summary:
Magnetic moment, μB per formula unit: 1.99
ΔE to the lowest computed polymorph, meV/atom: 17



Entry 7:
BaTe2Mo: relaxed, PBE-GGA.

abc: 5.318 5.318 5.318
angles: 60.00 60.00 60.00
Sites, in units of the cell vectors:
1 Te 0.250 0.250 0.250
2 Te 0.750 0.750 0.750
3 Ba 0.500 0.500 0.500
4 Mo 0.000 0.000 0.000

Summary:
Magnetic moment, μB per formula unit: 0.00
ΔE to the lowest computed polymorph, meV/atom: 456



Entry 8:
Ba2TeMo: relaxed, PBE-GGA.

abc: 4.965 4.759 6.882
angles: 69.73 90.00 90.00
Sites, in units of the cell vectors:
1 Mo 0.000 0.688 0.499
2 Ba 0.000 0.984 0.907
3 Te 0.500 0.560 0.755
4 Ba 0.500 0.268 0.339

Summary:
Magnetic moment, μB per formula unit: 3.97



no.,total energy (eV per atom)
1,-7.385
2,-4.938
3,-5.657
4,-4.306
5,-4.365
6,-5.227
7,-4.788
8,-4.433